DFT (PBE) results for a relaxed structure of Ca2SiP.

POSCAR file:
```
Ca2SiP
1.0
4.643 0.000 0.000
0.000 4.643 0.000
0.000 0.000 8.158
Ca Si P
4 2 2
direct
0.000 0.500 0.250
0.000 0.500 0.750
0.500 0.000 0.250
0.500 0.000 0.750
0.000 0.000 0.000
0.500 0.500 0.500
0.000 0.000 0.500
0.500 0.500 0.000
```

Computed properties:
The symmetry is I4/mmm. The calculation puts the energy relative to the lowest polymorph listed for this composition at 76 meV/atom. The formation energy without anion corrections comes out at -0.4760 eV/atom.

DFT (PBE) results for a relaxed structure of Be2Te.

POSCAR file:
```
Be2Te
1.0
5.048 0.000 0.000
0.000 5.048 0.000
0.000 0.000 7.538
Be Te
8 4
direct
0.173 0.327 0.000
0.173 0.673 0.500
0.327 0.173 0.500
0.327 0.827 0.000
0.673 0.173 0.000
0.673 0.827 0.500
0.827 0.327 0.500
0.827 0.673 0.000
0.000 0.000 0.250
0.000 0.000 0.750
0.500 0.500 0.250
0.500 0.500 0.750
```

Computed properties:
The symmetry is I4/mcm. The calculation puts the energy relative to the lowest polymorph listed for this composition at 472 meV/atom. The formation energy without anion corrections comes out at 0.4937 eV/atom.

DFT (PBE) results for a relaxed structure of La7Tb2Th2.

POSCAR file:
```
La7Tb2Th2
1.0
5.665 -5.834 0.000
5.665 5.834 0.000
-2.311 0.000 5.826
La Tb Th
7 2 2
direct
0.000 0.000 0.000
0.069 0.579 0.833
0.239 0.239 0.587
0.421 0.931 0.167
0.579 0.069 0.833
0.761 0.761 0.413
0.931 0.421 0.167
0.223 0.777 0.500
0.777 0.223 0.500
0.419 0.419 0.198
0.581 0.581 0.802
```

Computed properties:
The symmetry is C2/m. The calculation puts the energy relative to the lowest polymorph listed for this composition at 55 meV/atom. Its formation energy is 0.156 eV/atom.

DFT (PBE) results for a relaxed structure of Y8Ho6Pu.

POSCAR file:
```
Y8Ho6Pu
1.0
4.503 2.600 6.804
-4.503 2.600 6.804
0.000 -5.199 6.804
Y Ho Pu
8 6 1
direct
0.077 0.077 0.077
0.217 0.610 0.252
0.252 0.217 0.610
0.390 0.748 0.783
0.610 0.252 0.217
0.748 0.783 0.390
0.783 0.390 0.748
0.923 0.923 0.923
0.046 0.613 0.722
0.278 0.954 0.387
0.387 0.278 0.954
0.613 0.722 0.046
0.722 0.046 0.613
0.954 0.387 0.278
0.500 0.500 0.500
```

Computed properties:
The symmetry is R-3. Its formation energy is 0.121 eV/atom.

The calculation returns the following volume values, one per record and in order: 22.0 16.0 35.0 31.9 Å³ per atom.
The calculation returns the following theoretical density values, one per record and in order: 2.63 5.04 7.56 6.76 g cm⁻³.